Record 1
DFT (PBE) results for a relaxed structure of NdSi2OsRh.

Unit cell a=5.796 b=5.796 c=5.796 alpha=137.80 beta=137.80 gamma=61.21
Atoms (fractional coordinates):
1 Nd 0.000 0.000 0.000
2 Si 0.371 0.371 0.000
3 Si 0.629 0.629 0.000
4 Os 0.250 0.750 0.500
5 Rh 0.750 0.250 0.500

Summary:
Total magnetic moment   0.00 μB per formula unit
Calculated volume   86.9 Å³ per cell
Energy   -0.2849 hartree per atom
Mass density   9.43 Mg/m³
Formation energy (no corrections)   -88.2 kJ/mol of atoms

Record 2
DFT (PBE) results for a relaxed structure of Pr3YEr3S8.

Unit cell a=8.019 b=8.019 c=8.019 alpha=58.90 beta=58.90 gamma=58.90
Atoms (fractional coordinates):
1 Pr 0.000 0.500 0.500
2 Pr 0.500 0.000 0.500
3 Pr 0.500 0.500 0.000
4 Y 0.500 0.500 0.500
5 Er 0.000 0.000 0.500
6 Er 0.000 0.500 0.000
7 Er 0.500 0.000 0.000
8 S 0.238 0.747 0.747
9 S 0.243 0.243 0.243
10 S 0.253 0.253 0.762
11 S 0.253 0.762 0.253
12 S 0.747 0.238 0.747
13 S 0.747 0.747 0.238
14 S 0.757 0.757 0.757
15 S 0.762 0.253 0.253

Summary:
Total magnetic moment   0.00 μB per formula unit
Calculated volume   355.4 Å³ per cell
Energy   -0.2405 hartree per atom
Mass density   5.93 Mg/m³
Formation energy (no corrections)   -197.1 kJ/mol of atoms